# Ca2CoRhO6 PBE with a Hubbard U relaxed
# - raw total energy (eV per atom) = -6.1666
data_Ca2CoRhO6
_cell_length_a 5.385
_cell_length_b 5.385
_cell_length_c 4.326
_cell_angle_alpha 90.00
_cell_angle_beta 90.00
_cell_angle_gamma 90.00
_symmetry_space_group_name_H-M 'P 4 m m'
_symmetry_Int_Tables_number 99
loop_
_symmetry_equiv_pos_as_xyz
'x,y,z'
'-y,x,z'
'-x,-y,z'
'y,-x,z'
'-x,y,z'
'y,x,z'
'x,-y,z'
'-y,-x,z'
loop_
_atom_site_label
_atom_site_fract_x
_atom_site_fract_y
_atom_site_fract_z
Ca1 0.000 0.500 0.000
Co1 0.000 0.000 0.541
Rh1 0.500 0.500 0.585
O1 0.000 0.000 0.141
O2 0.248 0.248 0.667
O3 0.500 0.500 0.140